[1]
Computed, not measured: a relaxed BeSb crystal at the PBE-GGA level of DFT.

Geometry as POSCAR:
```
BeSb
1.0
-5.146 5.146 2.022
5.146 -5.146 2.022
5.146 5.146 -2.022
Be Sb
4 4
direct
0.104 0.271 0.375 Be
0.271 0.896 0.167 Be
0.729 0.104 0.833 Be
0.896 0.729 0.625 Be
0.129 0.693 0.821 Sb
0.307 0.129 0.436 Sb
0.693 0.871 0.564 Sb
0.871 0.307 0.179 Sb
```

Calculated values
Space-group type: I4/m
E_tot (eV/atom): -3.48
Polymorph energy (0 for the lowest one) (eV per atom): 0.279
ΔE_f (raw) (kJ/mol of atoms): 43

[2]
Computed, not measured: a relaxed Be3Sb4 crystal at the PBE-GGA level of DFT.

Geometry as POSCAR:
```
Be3Sb4
1.0
-1.696 1.696 13.109
1.696 -1.696 13.109
1.696 1.696 -13.109
Be Sb
3 4
direct
0.000 0.000 0.000 Be
0.272 0.272 0.000 Be
0.728 0.728 0.000 Be
0.179 0.179 0.000 Sb
0.445 0.445 0.000 Sb
0.555 0.555 0.000 Sb
0.821 0.821 0.000 Sb
```

Calculated values
Space-group type: I4/mmm
E_tot (eV/atom): -3.58
ΔE_f (raw) (kJ/mol of atoms): 36

| no. | N(E_F) (states/eV/f.u.) |
| --- | --- |
| 1 | 0.84 |
| 2 | 2.47 |